1.
Below is a relaxed Co2BiS2 crystal, with properties calculated at the PBE-GGA level.

The uncorrected formation energy is -0.211 eV per atom. The spin magnetization is 0.00 μB/f.u. Its space group is No. 139.

Geometry as extended XYZ:
```
5
Lattice="3.457 0.000 0.000 0.000 3.457 0.000 1.729 1.729 8.273" Properties=species:S:1:pos:R:3 pbc="T T T"
S 3.457 3.457 5.471
S 1.729 1.729 2.802
Co 3.457 1.729 4.136
Co 1.729 3.457 4.136
Bi 0.000 0.000 0.000
```


2.
Below is a relaxed Y2Ge2Sb crystal, with properties calculated at the PBE-GGA level.

The uncorrected formation energy is -0.599 eV per atom. The spin magnetization is 0.00 μB/f.u. The value obtained for the energy above the most stable polymorph in this dataset is 115 meV/atom. Its space group is No. 127.

Geometry as extended XYZ:
```
10
Lattice="7.999 0.000 0.000 0.000 7.999 0.000 0.000 0.000 4.118" Properties=species:S:1:pos:R:3 pbc="T T T"
Ge 7.123 3.123 2.059
Ge 0.876 4.876 2.059
Ge 3.123 0.876 2.059
Ge 4.876 7.123 2.059
Y 2.566 6.565 0.000
Y 1.434 2.566 0.000
Y 6.565 5.433 0.000
Y 5.433 1.434 0.000
Sb 0.000 0.000 0.000
Sb 4.000 4.000 0.000
```


3.
Below is a relaxed Nd5Sm2Ga5 crystal, with properties calculated at the PBE-GGA level.

The spin magnetization is 0.00 μB/f.u. Its space group is No. 12. For the total energy, the calculation gives -0.3243 Ry/atom.

Geometry as extended XYZ:
```
12
Lattice="4.623 0.000 0.000 -2.311 5.767 -0.584 0.000 -3.800 13.169" Properties=species:S:1:pos:R:3 pbc="T T T"
Ga 0.000 2.765 2.268
Ga 0.000 0.000 0.000
Ga 2.311 -0.798 10.316
Ga 2.311 1.648 6.930
Ga 0.000 0.319 5.654
Nd 2.311 1.508 3.931
Nd 2.311 -1.900 6.584
Nd 0.000 0.161 12.293
Nd 2.311 1.806 0.292
Nd 0.000 0.459 8.653
Sm 2.311 4.787 2.295
Sm 0.000 -2.820 10.290
```


4.
Below is a relaxed Nd2MgHg4 crystal, with properties calculated at the PBE-GGA level.

The spin magnetization is 0.00 μB/f.u. The value obtained for the energy above the most stable polymorph in this dataset is 238 meV/atom. Its space group is No. 139.

Geometry as extended XYZ:
```
7
Lattice="-3.029 1.935 3.686 2.983 -2.172 3.591 4.514 6.686 -3.396" Properties=species:S:1:pos:R:3 pbc="T T T"
Hg 1.620 2.369 0.087
Hg 2.848 4.080 3.793
Hg 1.491 -1.086 1.795
Hg -1.514 0.967 1.843
Mg 0.000 0.000 0.000
Nd 1.095 1.517 3.699
Nd 3.373 4.933 0.182
```


What did the fourth record say?
Below is a relaxed Nd2MgHg4 crystal, with properties calculated at the PBE-GGA level.

The spin magnetization is 0.00 μB/f.u. The value obtained for the energy above the most stable polymorph in this dataset is 238 meV/atom. Its space group is No. 139.

Geometry as extended XYZ:
```
7
Lattice="-3.029 1.935 3.686 2.983 -2.172 3.591 4.514 6.686 -3.396" Properties=species:S:1:pos:R:3 pbc="T T T"
Hg 1.620 2.369 0.087
Hg 2.848 4.080 3.793
Hg 1.491 -1.086 1.795
Hg -1.514 0.967 1.843
Mg 0.000 0.000 0.000
Nd 1.095 1.517 3.699
Nd 3.373 4.933 0.182
```